Density functional theory data (PBE-GGA) for GePb3I after structural relaxation.

Relative energy among the computed polymorphs ... 554 meV per atom
Final energy ... -2.60 eV per atom
Crystal system ... cubic
E_form (uncorrected) ... 0.86 eV/atom
V ... 213.0 Å³ per cell
Magnetic moment ... 0.00 μB per cell

a = 5.972 Å, b = 5.972 Å, c = 5.972 Å
α = 90.00°, β = 90.00°, γ = 90.00°
Atoms (fractional coordinates):
I 0.000 0.000 0.000
Pb 0.000 0.000 0.500
Pb 0.500 0.000 0.000
Pb 0.000 0.500 0.000
Ge 0.500 0.500 0.500

---

Density functional theory data (PBE-GGA) for Ca2LaHgPd after structural relaxation.

Final energy ... -3.23 eV per atom
Crystal system ... tetragonal
Formation enthalpy at 0 K ... -0.344 eV per atom
V ... 173.0 Å³ per cell
Magnetic moment ... 0.00 μB per cell

a = 5.583 Å, b = 5.583 Å, c = 5.552 Å
α = 90.00°, β = 90.00°, γ = 90.00°
Atoms (fractional coordinates):
Pd 0.000 0.000 0.000
Ca 0.000 0.500 0.000
Ca 0.500 0.000 0.000
Hg 0.500 0.500 0.500
La 0.000 0.000 0.500

---

Density functional theory data (PBE-GGA) for PmY6Er8 after structural relaxation.

Relative energy among the computed polymorphs ... 0 meV per atom
Final energy ... -5.32 eV per atom
Crystal system ... trigonal
Formation enthalpy at 0 K ... 0.013 eV per atom
V ... 472.6 Å³ per cell
Magnetic moment ... 0.01 μB per cell

a = 6.174 Å, b = 6.174 Å, c = 14.752 Å
α = 77.92°, β = 77.92°, γ = 60.00°
Atoms (fractional coordinates):
Y 0.068 0.401 0.797
Y 0.932 0.599 0.203
Y 0.401 0.734 0.797
Y 0.734 0.068 0.797
Y 0.266 0.932 0.203
Y 0.599 0.266 0.203
Er 0.199 0.533 0.403
Er 0.134 0.801 0.597
Er 0.667 0.667 0.000
Er 0.533 0.866 0.403
Er 0.467 0.134 0.597
Er 0.866 0.199 0.403
Er 0.333 0.333 0.000
Er 0.801 0.467 0.597
Pm 0.000 0.000 0.000

---

Density functional theory data (PBE-GGA) for CePr2TmS5 after structural relaxation.

Final energy ... -6.05 eV per atom
Crystal system ... tetragonal
E_form (uncorrected) ... -1.54 eV/atom
V ... 243.8 Å³ per cell
Magnetic moment ... 1.71 μB per cell

a = 4.825 Å, b = 4.825 Å, c = 10.469 Å
α = 90.00°, β = 90.00°, γ = 90.00°
Atoms (fractional coordinates):
Pr 0.500 0.500 0.292
Pr 0.500 0.500 0.708
S 0.000 0.000 0.251
S 0.500 0.000 0.500
S 0.500 0.500 0.000
S 0.000 0.500 0.500
S 0.000 0.000 0.749
Ce 0.000 0.000 0.000
Tm 0.000 0.000 0.500

---

Density functional theory data (PBE-GGA) for LaPrTm after structural relaxation.

Relative energy among the computed polymorphs ... 174 meV per atom
Final energy ... -4.53 eV per atom
Crystal system ... orthorhombic
Formation enthalpy at 0 K ... 0.198 eV per atom
V ... 212.6 Å³ per cell
Magnetic moment ... 0.00 μB per cell

a = 6.617 Å, b = 3.514 Å, c = 9.878 Å
α = 100.25°, β = 109.57°, γ = 90.00°
Atoms (fractional coordinates):
Pr 0.751 0.500 0.000
Pr 0.249 0.500 0.000
La 0.171 0.671 0.342
La 0.829 0.329 0.658
Tm 0.641 0.141 0.283
Tm 0.359 0.859 0.717

---

Density functional theory data (PBE-GGA) for SrHgRu2 after structural relaxation.

Final energy ... -4.41 eV per atom
Crystal system ... monoclinic
Formation enthalpy at 0 K ... 0.723 eV per atom
V ... 78.1 Å³ per cell
Magnetic moment ... 1.34 μB per cell

a = 5.348 Å, b = 5.744 Å, c = 2.981 Å
α = 76.55°, β = 86.69°, γ = 116.78°
Atoms (fractional coordinates):
Ru 0.000 0.000 0.000
Ru 0.500 0.000 0.500
Sr 0.000 0.500 0.500
Hg 0.500 0.500 0.000